## NaSrHg2 (GGA-PBE)

Data for an optimized crystal structure of NaSrHg2.

Properties
Space group ... R3m
Magnetic moment ... 0.000 μB/f.u.
Distance to the lowest polymorph of the same formula ... 0.110 eV per atom
Energy of formation from the pure elements ... -25.61 kJ per mole of atoms

a b c (Å): 4.580 4.580 22.342
angles (deg): 90.00 90.00 120.00
Atoms (fractional coordinates):
Na  0.000  0.000  0.000
Na  0.333  0.667  0.667
Na  0.667  0.333  0.333
Sr  0.000  0.000  0.174
Sr  0.333  0.667  0.841
Sr  0.667  0.333  0.507
Hg  0.000  0.000  0.598
Hg  0.000  0.000  0.745
Hg  0.333  0.667  0.264
Hg  0.333  0.667  0.412
Hg  0.667  0.333  0.079
Hg  0.667  0.333  0.931